Record 1
Below is a geometry-optimized TlReB2 structure, with properties calculated at the PBE level.

Results
The space group is Fm-3m (225). For the raw total energy, the calculation gives -5.332 eV/atom. The calculation puts the formation energy at 1710.1 meV/atom. For the energy above the most stable polymorph in this dataset, the calculation gives 0.791 eV per atom.

Unit cell a=4.1656 b=4.1656 c=4.1656 alpha=60.00 beta=60.00 gamma=60.00
Closest atoms and distances in Å follow each position.
Fractional coordinates of all 4 atoms:
Re 0.0000 0.0000 0.0000  8 B 2.55
Tl 0.5000 0.5000 0.5000  8 B 2.55
B 0.2500 0.2500 0.2500  4 Tl 2.55, 4 Re 2.55
B 0.7500 0.7500 0.7500  4 Tl 2.55, 4 Re 2.55

=====

Record 2
Below is a geometry-optimized NaLiLuHg structure, with properties calculated at the PBE level.

Results
The space group is F-43m (216). For the raw total energy, the calculation gives -2.061 eV/atom. The calculation puts the formation energy at -47.3 meV/atom.

Unit cell a=5.0997 b=5.0997 c=5.0997 alpha=60.00 beta=60.00 gamma=60.00
Closest atoms and distances in Å follow each position.
Fractional coordinates of all 4 atoms:
Na 0.2500 0.2500 0.2500  4 Hg 3.12, 4 Li 3.12
Lu 0.7500 0.7500 0.7500  4 Li 3.12, 4 Hg 3.12
Hg 0.5000 0.5000 0.5000  4 Na 3.12, 4 Lu 3.12
Li 0.0000 0.0000 0.0000  4 Lu 3.12, 4 Na 3.12